First-principles (GGA-PBEsol) data for an optimized crystal structure of CdAgPb2, as listed in Alexandria via LeMat-Bulk.

Computed properties:
Volume ... 96 Å³/cell
SG ... P4mm, No. 99
ΔE_f ... 1.9 kJ/mol of atoms

```
CdAgPb2
1.0
3.336 0.000 0.000
0.000 3.336 0.000
0.000 0.000 8.618
Cd Ag Pb
1 1 2
Cartesian
0.000 0.000 0.000
1.668 1.668 7.001
0.000 0.000 5.026
1.668 1.668 2.229
```